Record 1
Density functional theory data (PBE) for an optimized crystal structure of Cu2GeAs2.

abc: 7.650 7.650 2.837
angles: 90.00 90.00 90.00
Fractional coordinates of all 10 atoms:
Cu: 0.119 0.381 0.000
Cu: 0.381 0.881 0.000
Cu: 0.619 0.119 0.000
Cu: 0.881 0.619 0.000
Ge: 0.000 0.000 0.500
Ge: 0.500 0.500 0.500
As: 0.177 0.677 0.500
As: 0.323 0.177 0.500
As: 0.677 0.823 0.500
As: 0.823 0.323 0.500

Values from the calculation:
- Energy of formation from the pure elements: 1.02 eV/f.u.
- SG: No. 127
- Energy relative to the lowest polymorph listed for this composition: 0.0000 eV/atom

=====

Record 2
Density functional theory data (PBE) for an optimized crystal structure of MgZnPb2.

abc: 3.779 4.739 5.977
angles: 90.00 107.92 90.00
Fractional coordinates of all 4 atoms:
Mg: 0.000 0.000 0.000
Zn: 0.863 0.500 0.710
Pb: 0.288 0.000 0.550
Pb: 0.579 0.500 0.171

Values from the calculation:
- Energy of formation from the pure elements: 0.20 eV/f.u.
- SG: No. 6
- Energy relative to the lowest polymorph listed for this composition: 0.0393 eV/atom

=====

Record 3
Density functional theory data (PBE) for an optimized crystal structure of CeHoTh2P4.

abc: 7.077 4.099 7.093
angles: 90.00 109.55 90.00
Fractional coordinates of all 8 atoms:
Ce: 0.000 0.000 0.000
Ho: 0.000 0.500 0.500
Th: 0.500 0.000 0.500
Th: 0.500 0.500 0.000
P: 0.243 0.000 0.746
P: 0.244 0.500 0.250
P: 0.756 0.500 0.750
P: 0.757 0.000 0.254

Values from the calculation:
- Energy of formation from the pure elements: -12.47 eV/f.u.
- SG: No. 10

=====

Record 4
Density functional theory data (PBE) for an optimized crystal structure of UAg2Te3.

abc: 7.225 4.490 11.657
angles: 90.00 96.47 90.00
Fractional coordinates of all 12 atoms:
U: 0.057 0.250 0.182
U: 0.943 0.750 0.818
Ag: 0.006 0.750 0.417
Ag: 0.385 0.750 0.056
Ag: 0.615 0.250 0.944
Ag: 0.994 0.250 0.583
Te: 0.211 0.250 0.936
Te: 0.217 0.750 0.647
Te: 0.315 0.750 0.285
Te: 0.685 0.250 0.715
Te: 0.783 0.250 0.353
Te: 0.789 0.750 0.064

Values from the calculation:
- E_form (uncorrected): -0.33 eV per atom
- SG: No. 11
- Energy relative to the lowest polymorph listed for this composition: 0.0000 eV/atom

=====

Record 5
Density functional theory data (PBE) for an optimized crystal structure of Mn2SiMo.

abc: 2.793 2.793 6.309
angles: 90.00 90.00 90.00
Fractional coordinates of all 4 atoms:
Mn: 0.000 0.000 0.000
Mn: 0.500 0.500 0.225
Si: 0.500 0.500 0.787
Mo: 0.000 0.000 0.509

Values from the calculation:
- E_form (uncorrected): -0.10 eV per atom
- SG: No. 99

=====

Record 6
Density functional theory data (PBE) for an optimized crystal structure of Mg7BiSb2.

abc: 13.070 13.070 13.070
angles: 159.80 159.80 28.72
Fractional coordinates of all 10 atoms:
Mg: 0.000 0.000 0.000
Mg: 0.095 0.595 0.500
Mg: 0.250 0.750 0.500
Mg: 0.405 0.905 0.500
Mg: 0.595 0.095 0.500
Mg: 0.750 0.250 0.500
Mg: 0.905 0.405 0.500
Bi: 0.500 0.500 0.000
Sb: 0.178 0.178 0.000
Sb: 0.822 0.822 0.000

Values from the calculation:
- E_form (uncorrected): -0.15 eV per atom
- SG: No. 139

=====

Record 7
Density functional theory data (PBE) for an optimized crystal structure of BaScOs2.

abc: 3.252 4.874 4.961
angles: 90.00 90.00 90.00
Fractional coordinates of all 4 atoms:
Ba: 0.000 0.000 0.000
Sc: 0.500 0.000 0.500
Os: 0.000 0.500 0.500
Os: 0.500 0.500 0.000

Values from the calculation:
- Energy of formation from the pure elements: 4.05 eV/f.u.
- SG: No. 47
- Energy relative to the lowest polymorph listed for this composition: 0.8797 eV/atom

=====

Record 8
Density functional theory data (PBE) for an optimized crystal structure of Pm5Sb2H2.

abc: 7.089 7.089 6.823
angles: 108.79 108.79 44.38
Fractional coordinates of all 9 atoms:
Pm: 0.000 0.000 0.000
Pm: 0.151 0.151 0.557
Pm: 0.338 0.338 0.118
Pm: 0.662 0.662 0.882
Pm: 0.849 0.849 0.443
Sb: 0.404 0.404 0.691
Sb: 0.596 0.596 0.309
H: 0.157 0.157 0.894
H: 0.843 0.843 0.106

Values from the calculation:
- SG: No. 12
- DFT total energy: -4.869 eV per atom

=====

Per-record total magnetization, μB per atom: 0.000 0.000 0.038 0.338 0.222 0.000 0.000 0.000